# GGA+U Co3Hg2BiF12, optimized geometry
data_Co3Hg2BiF12
_cell_length_a 7.6994
_cell_length_b 7.6994
_cell_length_c 14.8662
_cell_angle_alpha 90.00
_cell_angle_beta 90.00
_cell_angle_gamma 120.00
_space_group_name_H-M_alt 'R -3 m'
_space_group_IT_number 166
_space_group_name_Hall '-R 3 2"'
loop_
_atom_site_label
_atom_site_type_symbol
_atom_site_fract_x
_atom_site_fract_y
_atom_site_fract_z
_atom_site_occupancy
Co1 Co 0.0000 0.5000 0.0000 1
Hg1 Hg 0.0000 0.0000 0.0907 1
Bi1 Bi 0.0000 0.0000 0.5000 1
F1 F 0.0497 0.5248 0.8715 1
F2 F 0.1028 0.5514 0.3007 1
# - Crystal system: trigonal
# - E: -4.224 eV/atom
# - DOS(E_F): 24.66 states/eV/cell